No. 1
La6Pm2Sm5, relaxed, DFT PBE-GGA; M_tot = 0.0 μB/f.u.; E_form = 0.098 eV per atom; VASP energy = -4.7220 eV per atom; calculated volume = 35.935 Å³/atom; N(E_F) = 36.925 states/eV per cell
1.0
11.9948 0.0000 0.0000
0.0000 21.1070 0.0000
0.0000 0.0000 3.6904
La Pm Sm
12 4 10
Direct
0.0597 0.0785 0.0000 La
0.0802 0.3661 0.0000 La
0.1777 0.6322 0.5000 La
0.3223 0.1322 0.5000 La
0.4198 0.8661 0.0000 La
0.4403 0.5785 0.0000 La
0.5597 0.4215 0.0000 La
0.5802 0.1339 0.0000 La
0.6777 0.8678 0.5000 La
0.8223 0.3678 0.5000 La
0.9198 0.6339 0.0000 La
0.9403 0.9215 0.0000 La
0.1676 0.7866 0.0000 Pm
0.3324 0.2866 0.0000 Pm
0.6676 0.7134 0.0000 Pm
0.8324 0.2134 0.0000 Pm
0.0000 0.5000 0.5000 Sm
0.0910 0.2244 0.5000 Sm
0.1991 0.9433 0.5000 Sm
0.3009 0.4433 0.5000 Sm
0.4090 0.7244 0.5000 Sm
0.5000 0.0000 0.5000 Sm
0.5910 0.2756 0.5000 Sm
0.6991 0.5567 0.5000 Sm
0.8009 0.0567 0.5000 Sm
0.9090 0.7756 0.5000 Sm

No. 2
TaHgPt2, relaxed, DFT PBE-GGA; M_tot = 0.0 μB/f.u.; E_form = 0.003 eV per atom; VASP energy = -6.0559 eV per atom; calculated volume = 17.447 Å³/atom; N(E_F) = 2.070 states/eV per cell
1.0
4.9649 0.0000 0.0000
0.0000 2.8868 0.0000
-2.1473 0.0000 4.8691
Ta Hg Pt
1 1 2
Direct
0.0000 0.0000 0.0000 Ta
0.0000 0.5000 0.5000 Hg
0.5000 0.0000 0.5000 Pt
0.5000 0.5000 0.0000 Pt

No. 3
Li2PPb, relaxed, DFT PBE-GGA; M_tot = 0.0 μB/f.u.; E_form = -0.143 eV per atom; VASP energy = -3.3798 eV per atom; calculated volume = 20.547 Å³/atom; N(E_F) = 8.644 states/eV per cell
1.0
4.3467 0.0000 0.0000
0.0000 4.3467 0.0000
0.0000 0.0000 17.4001
Li P Pb
8 4 4
Direct
0.1698 0.7500 0.1250 Li
0.2500 0.1698 0.8750 Li
0.2500 0.3302 0.3750 Li
0.3302 0.7500 0.6250 Li
0.6698 0.2500 0.6250 Li
0.7500 0.6698 0.3750 Li
0.7500 0.8302 0.8750 Li
0.8302 0.2500 0.1250 Li
0.0000 0.0000 0.0000 P
0.0000 0.5000 0.2500 P
0.5000 0.0000 0.7500 P
0.5000 0.5000 0.5000 P
0.0000 0.0000 0.5000 Pb
0.0000 0.5000 0.7500 Pb
0.5000 0.0000 0.2500 Pb
0.5000 0.5000 0.0000 Pb

No. 4
Ac3ErZn4, relaxed, DFT PBE-GGA; M_tot = 0.0 μB/f.u.; E_form = -0.247 eV per atom; VASP energy = -2.9946 eV per atom; calculated volume = 27.777 Å³/atom; N(E_F) = 9.172 states/eV per cell
1.0
3.8138 0.0000 0.0000
0.0000 3.8138 0.0000
0.0000 0.0000 15.2775
Ac Er Zn
3 1 4
Direct
0.0000 0.0000 0.0000 Ac
0.0000 0.0000 0.2622 Ac
0.0000 0.0000 0.7378 Ac
0.0000 0.0000 0.5000 Er
0.5000 0.5000 0.1294 Zn
0.5000 0.5000 0.4014 Zn
0.5000 0.5000 0.5986 Zn
0.5000 0.5000 0.8706 Zn

Which formula does entry 3 have? Li2PPb

Which value of calculated volume does entry 3 give? 20.547 Å³/atom

Among the records above, which one has the lowest calculated volume? TaHgPt2

Repeat the fourth record exactly.
Ac3ErZn4, relaxed, DFT PBE-GGA; M_tot = 0.0 μB/f.u.; E_form = -0.247 eV per atom; VASP energy = -2.9946 eV per atom; calculated volume = 27.777 Å³/atom; N(E_F) = 9.172 states/eV per cell
1.0
3.8138 0.0000 0.0000
0.0000 3.8138 0.0000
0.0000 0.0000 15.2775
Ac Er Zn
3 1 4
Direct
0.0000 0.0000 0.0000 Ac
0.0000 0.0000 0.2622 Ac
0.0000 0.0000 0.7378 Ac
0.0000 0.0000 0.5000 Er
0.5000 0.5000 0.1294 Zn
0.5000 0.5000 0.4014 Zn
0.5000 0.5000 0.5986 Zn
0.5000 0.5000 0.8706 Zn